[1]
CsGe2SbCl8 | GGA-PBE | optimized geometry

Results
M_tot = 0.00 Bohr magnetons per cell
Energy relative to the elements, uncorrected = -1.014 eV/atom

```
data_CsGe2SbCl8
_chemical_formula_sum 'Cs1 Ge2 Sb1 Cl8'
_space_group_name_H-M_alt 'P -1'
_space_group_IT_number 2
_space_group_name_Hall '-P 1'
_cell_length_a 6.460
_cell_length_b 7.224
_cell_length_c 9.755
_cell_angle_alpha 91.20
_cell_angle_beta 95.86
_cell_angle_gamma 98.49
loop_
_atom_site_label
_atom_site_type_symbol
_atom_site_fract_x
_atom_site_fract_y
_atom_site_fract_z
Cs1 Cs 0.000 0.000 0.000
Ge1 Ge 0.443 0.578 0.309
Sb1 Sb 0.000 0.000 0.500
Cl1 Cl 0.207 0.208 0.326
Cl2 Cl 0.209 0.709 0.453
Cl3 Cl 0.271 0.613 0.098
Cl4 Cl 0.297 0.114 0.712
```

[2]
YHgHPt2 | GGA-PBE | optimized geometry

Results
M_tot = 0.00 Bohr magnetons per cell
E above lowest polymorph = 0 meV per atom

```
data_YHgHPt2
_chemical_formula_sum 'Y1 Hg1 H1 Pt2'
_space_group_name_H-M_alt 'P 4/m m m'
_space_group_IT_number 123
_space_group_name_Hall '-P 4 2'
_cell_length_a 4.216
_cell_length_b 4.216
_cell_length_c 4.530
_cell_angle_alpha 90.00
_cell_angle_beta 90.00
_cell_angle_gamma 90.00
loop_
_atom_site_label
_atom_site_type_symbol
_atom_site_fract_x
_atom_site_fract_y
_atom_site_fract_z
Y1 Y 0.000 0.000 0.000
Hg1 Hg 0.500 0.500 0.000
H1 H 0.000 0.000 0.500
Pt1 Pt 0.000 0.500 0.500
```

[3]
Nd2Ga4CoSn2 | GGA-PBE | optimized geometry

Results
M_tot = 0.00 Bohr magnetons per cell
Raw total energy = -4.56 eV per atom

```
data_Nd2Ga4CoSn2
_chemical_formula_sum 'Nd4 Ga8 Co2 Sn4'
_space_group_name_H-M_alt 'I 4/m m m'
_space_group_IT_number 139
_space_group_name_Hall '-I 4 2'
_cell_length_a 6.451
_cell_length_b 6.451
_cell_length_c 9.084
_cell_angle_alpha 90.00
_cell_angle_beta 90.00
_cell_angle_gamma 90.00
loop_
_atom_site_label
_atom_site_type_symbol
_atom_site_fract_x
_atom_site_fract_y
_atom_site_fract_z
Nd1 Nd 0.000 0.500 0.250
Ga1 Ga 0.232 0.232 0.000
Co1 Co 0.000 0.000 0.500
Sn1 Sn 0.000 0.000 0.219
```

[4]
Pr12NdNi6 | GGA-PBE | optimized geometry

Results
M_tot = 0.00 Bohr magnetons per cell
Raw total energy = -5.25 eV per atom

```
data_Pr12NdNi6
_chemical_formula_sum 'Pr24 Nd2 Ni12'
_space_group_name_H-M_alt 'I m -3'
_space_group_IT_number 204
_space_group_name_Hall '-I 2 2 3'
_cell_length_a 10.246
_cell_length_b 10.246
_cell_length_c 10.246
_cell_angle_alpha 90.00
_cell_angle_beta 90.00
_cell_angle_gamma 90.00
loop_
_atom_site_label
_atom_site_type_symbol
_atom_site_fract_x
_atom_site_fract_y
_atom_site_fract_z
Pr1 Pr 0.000 0.312 0.185
Nd1 Nd 0.000 0.000 0.000
Ni1 Ni 0.000 0.120 0.500
```

[5]
Ce2PrZrP4 | GGA-PBE | optimized geometry

Results
M_tot = 0.50 Bohr magnetons per cell
Raw total energy = -7.31 eV per atom

```
data_Ce2PrZrP4
_chemical_formula_sum 'Ce2 Pr1 Zr1 P4'
_space_group_name_H-M_alt 'P 1 2/m 1'
_space_group_IT_number 10
_space_group_name_Hall '-P 2y'
_cell_length_a 6.953
_cell_length_b 4.017
_cell_length_c 6.977
_cell_angle_alpha 90.00
_cell_angle_beta 109.31
_cell_angle_gamma 90.00
loop_
_atom_site_label
_atom_site_type_symbol
_atom_site_fract_x
_atom_site_fract_y
_atom_site_fract_z
Ce1 Ce 0.000 0.000 0.000
Ce2 Ce 0.000 0.500 0.500
Pr1 Pr 0.500 0.000 0.500
Zr1 Zr 0.500 0.500 0.000
P1 P 0.251 0.500 0.235
P2 P 0.261 0.000 0.767
```

[6]
Tl3CrGa | GGA-PBE | optimized geometry

Results
M_tot = 4.95 Bohr magnetons per cell
E above lowest polymorph = 188 meV per atom

```
data_Tl3CrGa
_chemical_formula_sum 'Tl3 Cr1 Ga1'
_space_group_name_H-M_alt 'P m -3 m'
_space_group_IT_number 221
_space_group_name_Hall '-P 4 2 3'
_cell_length_a 5.459
_cell_length_b 5.459
_cell_length_c 5.459
_cell_angle_alpha 90.00
_cell_angle_beta 90.00
_cell_angle_gamma 90.00
loop_
_atom_site_label
_atom_site_type_symbol
_atom_site_fract_x
_atom_site_fract_y
_atom_site_fract_z
Tl1 Tl 0.000 0.000 0.500
Cr1 Cr 0.500 0.500 0.500
Ga1 Ga 0.000 0.000 0.000
```

[7]
HfTiAgPd | GGA-PBE | optimized geometry

Results
M_tot = 0.00 Bohr magnetons per cell
E above lowest polymorph = 0 meV per atom

```
data_HfTiAgPd
_chemical_formula_sum 'Hf1 Ti1 Ag1 Pd1'
_space_group_name_H-M_alt 'P 4 m m'
_space_group_IT_number 99
_space_group_name_Hall 'P 4 -2'
_cell_length_a 3.343
_cell_length_b 3.343
_cell_length_c 6.376
_cell_angle_alpha 90.00
_cell_angle_beta 90.00
_cell_angle_gamma 90.00
loop_
_atom_site_label
_atom_site_type_symbol
_atom_site_fract_x
_atom_site_fract_y
_atom_site_fract_z
Hf1 Hf 0.000 0.000 0.000
Ti1 Ti 0.500 0.500 0.283
Ag1 Ag 0.000 0.000 0.514
Pd1 Pd 0.500 0.500 0.773
```

[8]
Pu2BeZn | GGA-PBE | optimized geometry

Results
M_tot = 9.44 Bohr magnetons per cell
E above lowest polymorph = 439 meV per atom

```
data_Pu2BeZn
_chemical_formula_sum 'Pu6 Be3 Zn3'
_space_group_name_H-M_alt 'R -3 m'
_space_group_IT_number 166
_space_group_name_Hall '-R 3 2"'
_cell_length_a 2.5859
_cell_length_b 2.5859
_cell_length_c 33.7333
_cell_angle_alpha 90.00
_cell_angle_beta 90.00
_cell_angle_gamma 120.00
loop_
_atom_site_label
_atom_site_type_symbol
_atom_site_fract_x
_atom_site_fract_y
_atom_site_fract_z
Pu1 Pu 0.0000 0.0000 0.0844
Be1 Be 0.0000 0.0000 0.0000
Zn1 Zn 0.0000 0.0000 0.5000
```

no.,V (Å³/atom)
1,37.30
2,16.10
3,21.00
4,28.30
5,22.99
6,32.53
7,17.81
8,16.28